A plane-wave DFT calculation with PBE was carried out for crystalline NaHgI2 at its relaxed geometry.

The structure in CIF format:
```
data_NaHgI2
_chemical_formula_sum 'Na3 Hg3 I6'
_cell_length_a 4.5105
_cell_length_b 4.5105
_cell_length_c 24.3161
_cell_angle_alpha 90.00
_cell_angle_beta 90.00
_cell_angle_gamma 120.00
_symmetry_space_group_name_H-M 'R 3 m'
_symmetry_Int_Tables_number 160
_symmetry_space_group_name_Hall 'R 3 -2"'
loop_
_atom_site_label
_atom_site_fract_x
_atom_site_fract_y
_atom_site_fract_z
Na1 0.0000 0.0000 0.0000
Hg1 0.0000 0.0000 0.1671
I1 0.0000 0.0000 0.4110
I2 0.0000 0.0000 0.5888
```


A plane-wave DFT calculation with PBE was carried out for crystalline Na5Hg12I3 at its relaxed geometry.

The structure in CIF format:
```
data_Na5Hg12I3
_chemical_formula_sum 'Na40 Hg96 I24'
_cell_length_a 18.760
_cell_length_b 18.760
_cell_length_c 18.760
_cell_angle_alpha 90.00
_cell_angle_beta 90.00
_cell_angle_gamma 90.00
_symmetry_space_group_name_H-M 'I a -3 d'
_symmetry_Int_Tables_number 230
_symmetry_space_group_name_Hall '-I 4bd 2c 3'
loop_
_atom_site_label
_atom_site_fract_x
_atom_site_fract_y
_atom_site_fract_z
Na1 0.000 0.000 0.000
Na2 0.000 0.250 0.375
Hg1 0.023 0.074 0.646
I1 0.000 0.250 0.125
```


A plane-wave DFT calculation with PBE was carried out for crystalline Na2HgI2 at its relaxed geometry.

The structure in CIF format:
```
data_Na2HgI2
_chemical_formula_sum 'Na4 Hg2 I4'
_cell_length_a 6.238
_cell_length_b 6.238
_cell_length_c 12.864
_cell_angle_alpha 90.00
_cell_angle_beta 90.00
_cell_angle_gamma 90.00
_symmetry_space_group_name_H-M 'I 4/m m m'
_symmetry_Int_Tables_number 139
_symmetry_space_group_name_Hall '-I 4 2'
loop_
_atom_site_label
_atom_site_fract_x
_atom_site_fract_y
_atom_site_fract_z
Na1 0.000 0.000 0.235
Hg1 0.000 0.000 0.500
I1 0.000 0.500 0.250
```


A plane-wave DFT calculation with PBE was carried out for crystalline Na2HgI at its relaxed geometry.

The structure in CIF format:
```
data_Na2HgI
_chemical_formula_sum 'Na6 Hg3 I3'
_cell_length_a 4.5121
_cell_length_b 4.5121
_cell_length_c 22.6721
_cell_angle_alpha 90.00
_cell_angle_beta 90.00
_cell_angle_gamma 120.00
_symmetry_space_group_name_H-M 'R 3 m'
_symmetry_Int_Tables_number 160
_symmetry_space_group_name_Hall 'R 3 -2"'
loop_
_atom_site_label
_atom_site_fract_x
_atom_site_fract_y
_atom_site_fract_z
Na1 0.0000 0.0000 0.0000
Na2 0.0000 0.0000 0.1722
Hg1 0.0000 0.0000 0.5865
I1 0.0000 0.0000 0.4200
```


Magnetization (computed, μB per formula unit): 0.00 0.00 0.00 0.00
E_form (uncorrected) (computed, eV per atom): -0.557 -0.168 -0.889 -0.616